(1)
VASP calculation (PBE) on crystalline YBe2Ga at its relaxed geometry.

M_tot: 0.00 μB/f.u.
Energy of formation from the pure elements: -0.044 eV/atom
Density of states at the Fermi level: 4.85 states/eV/cell
Theoretical density: 4167 kg/m³

a b c (Å): 4.275 4.275 15.410
angles (deg): 90.00 90.00 90.00
Atoms (fractional coordinates):
Y 0.000 0.250 0.375
Y 0.000 0.750 0.625
Y 0.500 0.250 0.125
Y 0.500 0.750 0.875
Be 0.000 0.000 0.000
Be 0.000 0.500 0.000
Be 0.250 0.250 0.750
Be 0.250 0.750 0.250
Be 0.500 0.000 0.500
Be 0.500 0.500 0.500
Be 0.750 0.250 0.750
Be 0.750 0.750 0.250
Ga 0.000 0.250 0.875
Ga 0.000 0.750 0.125
Ga 0.500 0.250 0.625
Ga 0.500 0.750 0.375

(2)
VASP calculation (PBE) on crystalline SrLiSiAu6 at its relaxed geometry.

M_tot: 0.00 μB/f.u.
E_form (uncorrected): -2.6 eV per formula unit
Density of states at the Fermi level: 6.54 states/eV/cell
Theoretical density: 11728 kg/m³

a b c (Å): 8.069 8.069 8.069
angles (deg): 127.55 108.49 94.21
Atoms (fractional coordinates):
Sr 0.471 0.221 0.250
Sr 0.529 0.779 0.750
Li 0.000 0.000 0.500
Li 0.000 0.500 0.000
Si 0.000 0.000 0.000
Si 0.500 0.000 0.500
Au 0.125 0.424 0.294
Au 0.125 0.831 0.702
Au 0.184 0.934 0.250
Au 0.223 0.473 0.750
Au 0.370 0.169 0.794
Au 0.370 0.576 0.202
Au 0.630 0.424 0.798
Au 0.630 0.831 0.206
Au 0.777 0.527 0.250
Au 0.816 0.066 0.750
Au 0.875 0.169 0.298
Au 0.875 0.576 0.706

(3)
VASP calculation (PBE) on crystalline Pm5Ga2Au12 at its relaxed geometry.

M_tot: 0.00 μB/f.u.
Energy of formation from the pure elements: -0.592 eV/atom
Density of states at the Fermi level: 9.43 states/eV/cell
Theoretical density: 12686 kg/m³

a b c (Å): 8.515 8.515 7.305
angles (deg): 90.51 90.51 52.92
Atoms (fractional coordinates):
Pm 0.000 0.000 0.000
Pm 0.247 0.247 0.073
Pm 0.307 0.307 0.553
Pm 0.693 0.693 0.447
Pm 0.753 0.753 0.927
Ga 0.250 0.750 0.500
Ga 0.750 0.250 0.500
Au 0.037 0.658 0.258
Au 0.110 0.110 0.388
Au 0.199 0.586 0.873
Au 0.342 0.963 0.742
Au 0.414 0.801 0.127
Au 0.455 0.455 0.251
Au 0.545 0.545 0.749
Au 0.586 0.199 0.873
Au 0.658 0.037 0.258
Au 0.801 0.414 0.127
Au 0.890 0.890 0.612
Au 0.963 0.342 0.742

(4)
VASP calculation (PBE) on crystalline KTi at its relaxed geometry.

Relative energy among the computed polymorphs: 0.122 eV per atom
M_tot: 0.00 μB/f.u.
Energy of formation from the pure elements: 0.808 eV/atom
Density of states at the Fermi level: 13.01 states/eV/cell
Theoretical density: 1750 kg/m³

a b c (Å): 10.021 4.528 14.552
angles (deg): 90.00 90.00 90.00
Atoms (fractional coordinates):
K 0.140 0.250 0.216
K 0.188 0.250 0.929
K 0.312 0.750 0.429
K 0.360 0.750 0.716
K 0.640 0.250 0.284
K 0.688 0.250 0.571
K 0.812 0.750 0.071
K 0.860 0.750 0.784
Ti 0.010 0.750 0.538
Ti 0.080 0.250 0.620
Ti 0.420 0.750 0.120
Ti 0.490 0.250 0.038
Ti 0.510 0.750 0.962
Ti 0.580 0.250 0.880
Ti 0.920 0.750 0.380
Ti 0.990 0.250 0.462

(5)
VASP calculation (PBE) on crystalline Sb3PRu at its relaxed geometry.

Relative energy among the computed polymorphs: 0.000 eV per atom
M_tot: 0.00 μB/f.u.
E_form (uncorrected): 3.2 eV per formula unit
Density of states at the Fermi level: 4.52 states/eV/cell
Theoretical density: 6309 kg/m³

a b c (Å): 5.077 5.077 5.077
angles (deg): 90.00 90.00 90.00
Atoms (fractional coordinates):
Sb 0.000 0.000 0.500
Sb 0.000 0.500 0.000
Sb 0.500 0.000 0.000
P 0.500 0.500 0.500
Ru 0.000 0.000 0.000

(6)
VASP calculation (PBE) on crystalline Pm7Nd3Y2 at its relaxed geometry.

Relative energy among the computed polymorphs: 0.000 eV per atom
M_tot: 0.00 μB/f.u.
Energy of formation from the pure elements: 0.074 eV/atom
Density of states at the Fermi level: 18.43 states/eV/cell
Theoretical density: 6508 kg/m³

a b c (Å): 6.504 3.590 17.867
angles (deg): 90.00 96.12 90.00
Atoms (fractional coordinates):
Pm 0.000 0.000 0.000
Pm 0.224 0.500 0.169
Pm 0.256 0.500 0.498
Pm 0.271 0.000 0.833
Pm 0.729 0.000 0.167
Pm 0.744 0.500 0.502
Pm 0.776 0.500 0.831
Nd 0.452 0.000 0.339
Nd 0.500 0.500 0.000
Nd 0.548 0.000 0.661
Y 0.055 0.500 0.671
Y 0.945 0.500 0.329

(7)
VASP calculation (PBE) on crystalline Li2CaP2Pt at its relaxed geometry.

M_tot: 0.00 μB/f.u.
Energy of formation from the pure elements: -0.577 eV/atom
Density of states at the Fermi level: 4.71 states/eV/cell
Theoretical density: 4359 kg/m³

a b c (Å): 4.768 4.768 10.421
angles (deg): 90.00 90.00 90.00
Atoms (fractional coordinates):
Li 0.000 0.500 0.250
Li 0.000 0.500 0.750
Li 0.500 0.000 0.250
Li 0.500 0.000 0.750
Ca 0.000 0.000 0.000
Ca 0.500 0.500 0.500
P 0.000 0.000 0.286
P 0.000 0.000 0.714
P 0.500 0.500 0.214
P 0.500 0.500 0.786
Pt 0.000 0.000 0.500
Pt 0.500 0.500 0.000

(8)
VASP calculation (PBE) on crystalline Ce4MnHg at its relaxed geometry.

M_tot: 0.67 μB/f.u.
Energy of formation from the pure elements: -0.070 eV/atom
Density of states at the Fermi level: 26.61 states/eV/cell
Theoretical density: 9411 kg/m³

a b c (Å): 7.406 7.406 5.733
angles (deg): 100.02 100.02 106.78
Atoms (fractional coordinates):
Ce 0.048 0.707 0.930
Ce 0.164 0.379 0.620
Ce 0.293 0.952 0.570
Ce 0.379 0.164 0.120
Ce 0.621 0.836 0.880
Ce 0.707 0.048 0.430
Ce 0.836 0.621 0.380
Ce 0.952 0.293 0.070
Mn 0.006 0.994 0.250
Mn 0.994 0.006 0.750
Hg 0.393 0.607 0.250
Hg 0.607 0.393 0.750

(9)
VASP calculation (PBE) on crystalline PrY4Mg5 at its relaxed geometry.

M_tot: 0.00 μB/f.u.
Energy of formation from the pure elements: -0.107 eV/atom
Density of states at the Fermi level: 14.42 states/eV/cell
Theoretical density: 3671 kg/m³

a b c (Å): 3.815 3.815 19.205
angles (deg): 90.00 90.00 90.00
Atoms (fractional coordinates):
Pr 0.000 0.000 0.000
Y 0.000 0.000 0.205
Y 0.000 0.000 0.402
Y 0.000 0.000 0.598
Y 0.000 0.000 0.795
Mg 0.500 0.500 0.107
Mg 0.500 0.500 0.303
Mg 0.500 0.500 0.500
Mg 0.500 0.500 0.697
Mg 0.500 0.500 0.893

(10)
VASP calculation (PBE) on crystalline DyHo3Sc3 at its relaxed geometry.

Relative energy among the computed polymorphs: 0.000 eV per atom
M_tot: 0.03 μB/f.u.
Energy of formation from the pure elements: 0.025 eV/atom
Density of states at the Fermi level: 28.97 states/eV/cell
Theoretical density: 6611 kg/m³

a b c (Å): 9.202 9.202 5.427
angles (deg): 90.00 90.00 120.00
Atoms (fractional coordinates):
Dy 0.333 0.667 0.250
Dy 0.667 0.333 0.750
Ho 0.048 0.244 0.250
Ho 0.197 0.952 0.250
Ho 0.244 0.197 0.750
Ho 0.756 0.803 0.250
Ho 0.803 0.048 0.750
Ho 0.952 0.756 0.750
Sc 0.096 0.481 0.750
Sc 0.385 0.904 0.750
Sc 0.481 0.385 0.250
Sc 0.519 0.615 0.750
Sc 0.615 0.096 0.250
Sc 0.904 0.519 0.250

(11)
VASP calculation (PBE) on crystalline CsBaCu4O6 at its relaxed geometry.

M_tot: 0.00 μB/f.u.
E_form (uncorrected): -8.8 eV per formula unit
Density of states at the Fermi level: 8.60 states/eV/cell
Theoretical density: 4110 kg/m³

a b c (Å): 6.081 6.081 7.827
angles (deg): 90.00 90.00 120.00
Atoms (fractional coordinates):
Cs 0.000 0.000 0.000
Ba 0.000 0.000 0.500
Cu 0.333 0.667 0.251
Cu 0.333 0.667 0.749
Cu 0.667 0.333 0.251
Cu 0.667 0.333 0.749
O 0.000 0.500 0.285
O 0.000 0.500 0.715
O 0.500 0.000 0.285
O 0.500 0.000 0.715
O 0.500 0.500 0.285
O 0.500 0.500 0.715

(12)
VASP calculation (PBE) on crystalline V4ReTc at its relaxed geometry.

Relative energy among the computed polymorphs: 0.000 eV per atom
M_tot: 0.00 μB/f.u.
Energy of formation from the pure elements: -0.332 eV/atom
Density of states at the Fermi level: 3.03 states/eV/cell
Theoretical density: 9829 kg/m³

a b c (Å): 3.014 3.014 9.073
angles (deg): 90.00 90.00 90.00
Atoms (fractional coordinates):
V 0.000 0.000 0.166
V 0.000 0.000 0.834
V 0.500 0.500 0.333
V 0.500 0.500 0.667
Re 0.000 0.000 0.500
Tc 0.500 0.500 0.000

Which of these has the lowest density of states at the Fermi level?
V4ReTc

Among the records above, which one has the lowest density of states at the Fermi level?
V4ReTc